Compound: Pa5H
Source: Alexandria via LeMat-Bulk
Functional: PBE
Structure: optimized geometry Values from VASP.

**E_tot**: -48.922 eV for the cell shown

The structure in Quantum ESPRESSO input format:
```
&SYSTEM
  ibrav = 0, nat = 6, ntyp = 2
/
ATOMIC_SPECIES
Pa 231.04 Pa.upf
H 1.01 H.upf
ATOMIC_POSITIONS crystal
Pa 0.500 0.843 0.686
Pa 0.500 0.157 0.314
H 0.000 0.000 0.000
Pa 0.000 0.345 0.690
Pa 0.000 0.655 0.310
Pa 0.500 0.500 0.000
CELL_PARAMETERS angstrom
-3.659 0.764 -2.601
-0.873 -4.434 -0.074
-3.110 2.828 5.204
```